An optimized crystal structure of LiDySc2. Source: Alexandria via LeMat-Bulk, functional PBE.

The polymorph energy (0 for the lowest one) comes out at 0.0 meV/atom. The total energy comes out at -18.70 eV per formula unit. The total magnetic moment is 0.00 μB/cell. As for the energy of formation from the pure elements: 0.119 eV per atom.

Lattice parameters (Å, degrees): 3.4376 3.4376 8.2939 90.00 90.00 90.00
Closest atoms and distances in Å follow each position.
Space group P4/mmm (No. 123)
Symmetry-distinct sites (fractional):
Li1 0.0000 0.0000 0.0000 x1  8 Sc 3.02
Dy1 0.0000 0.0000 0.5000 x1  8 Sc 3.39, 4 Dy 3.44
Sc1 0.5000 0.5000 0.2157 x2  4 Li 3.02